Computed, not measured: crystalline Cd3GaPb12 at its relaxed geometry at the PBE level of DFT. Values from VASP.

Structure (Quantum ESPRESSO input):
```
&SYSTEM
  ibrav = 0, nat = 16, ntyp = 3
/
ATOMIC_SPECIES
Pb 207.20 Pb.upf
Cd 112.41 Cd.upf
Ga 69.72 Ga.upf
ATOMIC_POSITIONS angstrom
Pb 2.425 2.425 15.128
Pb 2.425 2.425 10.070
Pb 0.000 2.425 12.601
Pb 2.425 2.425 0.000
Pb 2.425 0.000 17.664
Pb 2.425 0.000 12.601
Pb 0.000 2.425 2.477
Pb 0.000 2.425 7.539
Pb 0.000 2.425 17.664
Pb 2.425 2.425 5.013
Pb 2.425 0.000 7.539
Pb 2.425 0.000 2.477
Cd 0.000 0.000 10.070
Cd 0.000 0.000 4.992
Cd 0.000 0.000 15.148
Ga 0.000 0.000 0.000
CELL_PARAMETERS angstrom
4.850 0.000 0.000
0.000 4.850 0.000
0.000 0.000 20.140
```

Computed properties:
* DFT formation energy: 35.4 meV per atom
* density of states at the Fermi level: 6.3 states/eV per cell
* final energy: -3.107 eV/atom